{"formula": "SrLi2AlAg", "functional": "PBE", "state": "optimized geometry", "volume_a3_per_cell": 126, "relative_energy_mev_per_atom": 0, "e_form_mev_per_atom": -58, "m_tot_mub_per_fu": 0.00, "final_energy_ev_per_atom": -2.479, "cell": [[5.048, 0.000, 0.000], [0.000, 5.048, 0.000], [0.000, 0.000, 4.949]], "species": ["Sr", "Li", "Li", "Al", "Ag"], "fractional_positions": [[0.000, 0.000, 0.000], [0.000, 0.500, 0.500], [0.500, 0.000, 0.500], [0.500, 0.500, 0.000], [0.500, 0.500, 0.500]]}

{"formula": "NaDyHo", "functional": "PBE", "state": "optimized geometry", "volume_a3_per_cell": 217, "relative_energy_mev_per_atom": 335, "e_form_mev_per_atom": 478, "m_tot_mub_per_fu": 0.00, "final_energy_ev_per_atom": -3.022, "cell": [[4.409, 0.000, 0.000], [0.000, 4.409, 0.000], [0.000, 0.000, 11.176]], "species": ["Na", "Na", "Dy", "Dy", "Ho", "Ho"], "fractional_positions": [[0.250, 0.250, 0.087], [0.750, 0.750, 0.913], [0.250, 0.250, 0.739], [0.750, 0.750, 0.261], [0.250, 0.750, 0.500], [0.750, 0.250, 0.500]]}

Copy entry 2 word for word.
{"formula": "NaDyHo", "functional": "PBE", "state": "optimized geometry", "volume_a3_per_cell": 217, "relative_energy_mev_per_atom": 335, "e_form_mev_per_atom": 478, "m_tot_mub_per_fu": 0.00, "final_energy_ev_per_atom": -3.022, "cell": [[4.409, 0.000, 0.000], [0.000, 4.409, 0.000], [0.000, 0.000, 11.176]], "species": ["Na", "Na", "Dy", "Dy", "Ho", "Ho"], "fractional_positions": [[0.250, 0.250, 0.087], [0.750, 0.750, 0.913], [0.250, 0.250, 0.739], [0.750, 0.750, 0.261], [0.250, 0.750, 0.500], [0.750, 0.250, 0.500]]}